Entry from Alexandria via LeMat-Bulk: crystalline ThHgTe at its relaxed geometry (PBE-GGA).

Cell lengths 4.407, 4.407, 8.969 Å; angles 90.00, 90.00, 90.00 degrees
Fractional coordinates of all 6 atoms:
Th: 0.250 0.250 0.226
Th: 0.750 0.750 0.774
Hg: 0.250 0.750 0.500
Hg: 0.750 0.250 0.500
Te: 0.250 0.250 0.863
Te: 0.750 0.750 0.137

Calculated values
ΔE_f (raw)	-0.720	eV per atom
electronic total energy	-4.34	eV per atom
N(E_F)	3.09	states/eV/f.u.
magnetic moment	0.0	μB/f.u.
crystal system	tetragonal

Entry from Alexandria via LeMat-Bulk: crystalline Ac6Ni2AsCl3 at its relaxed geometry (PBE-GGA).

Cell lengths 10.044, 10.044, 9.142 Å; angles 102.78, 102.78, 24.81 degrees
Fractional coordinates of all 12 atoms:
Ac: 0.017 0.017 0.246
Ac: 0.324 0.324 0.447
Ac: 0.330 0.330 0.894
Ac: 0.670 0.670 0.106
Ac: 0.676 0.676 0.553
Ac: 0.983 0.983 0.754
Ni: 0.172 0.172 0.328
Ni: 0.828 0.828 0.672
As: 0.500 0.500 0.000
Cl: 0.145 0.145 0.810
Cl: 0.500 0.500 0.500
Cl: 0.855 0.855 0.190

Calculated values
ΔE_f (raw)	-1.108	eV per atom
electronic total energy	-4.97	eV per atom
N(E_F)	9.43	states/eV/f.u.
magnetic moment	0.0	μB/f.u.
crystal system	monoclinic

Entry from Alexandria via LeMat-Bulk: crystalline Hf2InSiTe at its relaxed geometry (PBE-GGA).

Cell lengths 5.265, 5.265, 5.139 Å; angles 90.00, 90.00, 90.00 degrees
Fractional coordinates of all 5 atoms:
Hf: 0.000 0.500 0.000
Hf: 0.500 0.000 0.000
In: 0.000 0.000 0.500
Si: 0.500 0.500 0.500
Te: 0.500 0.500 0.000

Calculated values
ΔE_f (raw)	0.996	eV per atom
electronic total energy	-5.25	eV per atom
N(E_F)	5.66	states/eV/f.u.
magnetic moment	0.0	μB/f.u.
crystal system	tetragonal

Entry from Alexandria via LeMat-Bulk: crystalline PrDyThSc at its relaxed geometry (PBE-GGA).

Cell lengths 5.596, 5.596, 5.596 Å; angles 60.00, 60.00, 60.00 degrees
Fractional coordinates of all 4 atoms:
Pr: 0.000 0.000 0.000
Dy: 0.250 0.250 0.250
Th: 0.500 0.500 0.500
Sc: 0.750 0.750 0.750

Calculated values
electronic total energy	-5.67	eV per atom
N(E_F)	6.88	states/eV/f.u.
magnetic moment	0.0	μB/f.u.
crystal system	cubic

Entry from Alexandria via LeMat-Bulk: crystalline PmPaCdBi at its relaxed geometry (PBE-GGA).

Cell lengths 5.436, 5.436, 5.436 Å; angles 60.00, 60.00, 60.00 degrees
Fractional coordinates of all 4 atoms:
Pm: 0.000 0.000 0.000
Pa: 0.500 0.500 0.500
Cd: 0.750 0.750 0.750
Bi: 0.250 0.250 0.250

Calculated values
electronic total energy	-4.84	eV per atom
N(E_F)	9.17	states/eV/f.u.
magnetic moment	2.4	μB/f.u.
crystal system	cubic

Entry from Alexandria via LeMat-Bulk: crystalline Cs2LiRhI6 at its relaxed geometry (PBE-GGA).

Cell lengths 8.685, 10.022, 9.332 Å; angles 90.00, 90.00, 90.00 degrees
Fractional coordinates of all 20 atoms:
Cs: 0.250 0.008 0.230
Cs: 0.250 0.492 0.230
Cs: 0.750 0.508 0.770
Cs: 0.750 0.992 0.770
Li: 0.250 0.750 0.592
Li: 0.750 0.250 0.408
Rh: 0.250 0.250 0.752
Rh: 0.750 0.750 0.248
I: 0.031 0.250 0.956
I: 0.034 0.250 0.536
I: 0.250 0.523 0.768
I: 0.250 0.977 0.768
I: 0.466 0.250 0.536
I: 0.469 0.250 0.956
I: 0.531 0.750 0.044
I: 0.534 0.750 0.464
I: 0.750 0.023 0.232
I: 0.750 0.477 0.232
I: 0.966 0.750 0.464
I: 0.969 0.750 0.044

Calculated values
ΔE_f (raw)	-0.906	eV per atom
electronic total energy	-2.93	eV per atom
magnetic moment	0.0	μB/f.u.
crystal system	orthorhombic

> Which value of electronic total energy does entry 1 give?

-4.34 eV per atom